# Np2AlGa9

A geometry-optimized Np2AlGa9 structure (GGA-PBE, Alexandria).

The structure in CIF format:
```
data_Np2AlGa9
_symmetry_space_group_name_H-M 'P 1'
_symmetry_Int_Tables_number 1
_cell_length_a 5.5948
_cell_length_b 5.5948
_cell_length_c 8.5753
_cell_angle_alpha 100.11
_cell_angle_beta 100.11
_cell_angle_gamma 116.01
loop_
_symmetry_equiv_pos_as_xyz
'x,y,z'
loop_
_atom_site_label
_atom_site_type_symbol
_atom_site_fract_x
_atom_site_fract_y
_atom_site_fract_z
_atom_site_occupancy
Np1 Np 0.0814 0.0814 0.1649 1
Np2 Np 0.9186 0.9186 0.8351 1
Al1 Al 0.5000 0.5000 0.5000 1
Ga1 Ga 0.0000 0.0000 0.5000 1
Ga2 Ga 0.0000 0.5000 0.0000 1
Ga3 Ga 0.1633 0.6593 0.3264 1
Ga4 Ga 0.3407 0.8367 0.6736 1
Ga5 Ga 0.4097 0.4097 0.8183 1
Ga6 Ga 0.5000 0.0000 0.0000 1
Ga7 Ga 0.5903 0.5903 0.1817 1
Ga8 Ga 0.6593 0.1633 0.3264 1
Ga9 Ga 0.8367 0.3407 0.6736 1
```

## Properties
The space group is C2/m (12). Its formation energy is -2.02 kcal/mol of atoms.

=====

# NpAlGa2

A geometry-optimized NpAlGa2 structure (GGA-PBE, Alexandria).

The structure in CIF format:
```
data_NpAlGa2
_symmetry_space_group_name_H-M 'P 1'
_symmetry_Int_Tables_number 1
_cell_length_a 3.4069
_cell_length_b 3.4069
_cell_length_c 6.6887
_cell_angle_alpha 90.00
_cell_angle_beta 90.00
_cell_angle_gamma 90.00
loop_
_symmetry_equiv_pos_as_xyz
'x,y,z'
loop_
_atom_site_label
_atom_site_type_symbol
_atom_site_fract_x
_atom_site_fract_y
_atom_site_fract_z
_atom_site_occupancy
Np1 Np 0.0000 0.0000 0.0000 1
Al1 Al 0.0000 0.0000 0.5000 1
Ga1 Ga 0.5000 0.5000 0.2917 1
Ga2 Ga 0.5000 0.5000 0.7083 1
```

## Properties
The space group is P4/mmm (123). Its formation energy is -0.83 kcal/mol of atoms.

=====

# NpAlGa2

A geometry-optimized NpAlGa2 structure (GGA-PBE, Alexandria).

The structure in CIF format:
```
data_NpAlGa2
_symmetry_space_group_name_H-M 'P 1'
_symmetry_Int_Tables_number 1
_cell_length_a 4.7665
_cell_length_b 4.7665
_cell_length_c 4.7665
_cell_angle_alpha 60.00
_cell_angle_beta 60.00
_cell_angle_gamma 60.00
loop_
_symmetry_equiv_pos_as_xyz
'x,y,z'
loop_
_atom_site_label
_atom_site_type_symbol
_atom_site_fract_x
_atom_site_fract_y
_atom_site_fract_z
_atom_site_occupancy
Np1 Np 0.0000 0.0000 0.0000 1
Al1 Al 0.5000 0.5000 0.5000 1
Ga1 Ga 0.2500 0.2500 0.2500 1
Ga2 Ga 0.7500 0.7500 0.7500 1
```

## Properties
The space group is Fm-3m (225). Its formation energy is -1.05 kcal/mol of atoms.